# NaEuSe

Crystalline NaEuSe at its relaxed geometry (PBE, Alexandria via LeMat-Bulk).

a b c (Å): 4.354 4.354 6.722
angles (deg): 90.00 90.00 120.00
Atoms (fractional coordinates):
Eu: 0.667 0.333 0.432
Na: 0.000 0.000 0.904
Se: 0.333 0.667 0.664

The energy relative to the elements, uncorrected comes out at -1.04 eV per atom. As for the crystal system: trigonal. As for the space group: P3m1. The total energy comes out at -6.07 eV per atom.